First-principles (PBE-GGA) data for a relaxed structure of CdTe5, as listed in Alexandria via LeMat-Bulk.

Energy above the lowest structure with this stoichiometry   489 meV/atom
Uncorrected formation energy   0.44 eV per atom
Total magnetization   0.00 μB per atom

Cell: 6.3703 6.3703 6.3703 Å, 60.00 60.00 60.00°
With the nearest neighbours (Å) after each atom.
Sites, in units of the cell vectors:
Cd  0.0000  0.0000  0.0000  16 Te 3.74-3.90
Te  0.2500  0.2500  0.2500  12 Te 3.73, 4 Cd 3.90
Te  0.6243  0.6243  0.6243  6 Te 3.17-3.20
Te  0.6243  0.6243  0.1270  6 Te 3.17-3.20
Te  0.1270  0.6243  0.6243  6 Te 3.17-3.20
Te  0.6243  0.1270  0.6243  6 Te 3.17-3.20


First-principles (PBE-GGA) data for a relaxed structure of Cd2Te, as listed in Alexandria via LeMat-Bulk.

Energy above the lowest structure with this stoichiometry   281 meV/atom
Uncorrected formation energy   0.11 eV per atom
Total magnetization   0.00 μB per atom

Cell: 4.8331 4.8331 4.1433 Å, 90.00 90.00 120.00°
With the nearest neighbours (Å) after each atom.
Sites, in units of the cell vectors:
Te  0.0000  0.0000  0.0000  12 Cd 3.48
Cd  0.3333  0.6667  0.5000  3 Cd 2.79
Cd  0.6667  0.3333  0.5000  3 Cd 2.79


First-principles (PBE-GGA) data for a relaxed structure of Cd3Te, as listed in Alexandria via LeMat-Bulk.

Energy above the lowest structure with this stoichiometry   30 meV/atom
Uncorrected formation energy   -0.07 eV per atom
Total magnetization   0.00 μB per atom

Cell: 5.0767 5.0967 8.8486 Å, 90.00 90.00 90.00°
With the nearest neighbours (Å) after each atom.
Sites, in units of the cell vectors:
Cd  0.1977  0.5000  0.0000  2 Cd 2.85, 2 Te 3.08
Cd  0.8023  0.0000  0.5000  2 Cd 2.85, 2 Te 3.08
Cd  0.1539  0.0000  0.7516  3 Cd 2.85-2.99, 1 Te 2.94
Cd  0.1539  0.0000  0.2484  3 Cd 2.85-2.99, 1 Te 2.94
Cd  0.8461  0.5000  0.2516  3 Cd 2.85-2.99, 1 Te 2.94
Cd  0.8461  0.5000  0.7484  3 Cd 2.85-2.99, 1 Te 2.94
Te  0.5378  0.0000  0.0000  4 Cd 2.94-3.08
Te  0.4622  0.5000  0.5000  4 Cd 2.94-3.08


First-principles (PBE-GGA) data for a relaxed structure of Cd3Te, as listed in Alexandria via LeMat-Bulk.

Energy above the lowest structure with this stoichiometry   129 meV/atom
Uncorrected formation energy   0.03 eV per atom
Total magnetization   0.00 μB per atom

Cell: 5.6891 5.6891 5.6891 Å, 136.70 120.73 76.18°
With the nearest neighbours (Å) after each atom.
Sites, in units of the cell vectors:
Te  0.5000  0.0000  0.5000  4 Cd 3.11
Cd  0.2442  0.2442  0.0000  2 Cd 3.03, 2 Te 3.11
Cd  0.7558  0.7558  0.0000  2 Cd 3.03, 2 Te 3.11
Cd  0.0000  0.5000  0.5000  4 Cd 3.03


First-principles (PBE-GGA) data for a relaxed structure of Cd4Te3, as listed in Alexandria via LeMat-Bulk.

Energy above the lowest structure with this stoichiometry   0 meV/atom
Uncorrected formation energy   -0.16 eV per atom
Total magnetization   0.00 μB per atom

Cell: 12.0998 12.0998 12.0998 Å, 159.60 159.60 29.01°
With the nearest neighbours (Å) after each atom.
Sites, in units of the cell vectors:
Cd  0.8180  0.8180  0.0000  5 Te 3.03-3.30
Cd  0.1820  0.1820  0.0000  5 Te 3.03-3.30
Cd  0.5577  0.5577  0.0000  1 Cd 2.70, 1 Te 2.80
Cd  0.4423  0.4423  0.0000  1 Cd 2.70, 1 Te 2.80
Te  0.0000  0.0000  0.0000  8 Cd 3.32
Te  0.6771  0.6771  0.0000  5 Cd 2.80-3.03
Te  0.3229  0.3229  0.0000  5 Cd 2.80-3.03


First-principles (PBE-GGA) data for a relaxed structure of Cd2Te, as listed in Alexandria via LeMat-Bulk.

Energy above the lowest structure with this stoichiometry   164 meV/atom
Uncorrected formation energy   -0.01 eV per atom
Total magnetization   0.00 μB per atom

Cell: 7.2912 7.2912 4.1624 Å, 90.00 90.00 131.65°
With the nearest neighbours (Å) after each atom.
Sites, in units of the cell vectors:
Cd  0.0000  0.0000  0.0000  4 Cd 3.05
Cd  0.5000  0.5000  0.5000  4 Te 2.94
Cd  0.8325  0.1675  0.5000  2 Cd 3.05, 2 Te 3.13
Cd  0.1675  0.8325  0.5000  2 Cd 3.05, 2 Te 3.13
Te  0.6565  0.3435  0.0000  4 Cd 2.94-3.13
Te  0.3435  0.6565  0.0000  4 Cd 2.94-3.13


First-principles (PBE-GGA) data for a relaxed structure of CdTe4, as listed in Alexandria via LeMat-Bulk.

Energy above the lowest structure with this stoichiometry   93 meV/atom
Uncorrected formation energy   0.22 eV per atom
Total magnetization   0.00 μB per atom

Cell: 6.0212 6.0212 6.0212 Å, 109.47 109.47 109.47°
With the nearest neighbours (Å) after each atom.
Sites, in units of the cell vectors:
Cd  0.0000  0.0000  0.0000  8 Te 3.01
Te  0.5000  0.0000  0.0000  2 Cd 3.01
Te  0.5000  0.5000  0.5000  2 Cd 3.01
Te  0.0000  0.5000  0.0000  2 Cd 3.01
Te  0.0000  0.0000  0.5000  2 Cd 3.01


First-principles (PBE-GGA) data for a relaxed structure of ThCdTe2, as listed in Alexandria via LeMat-Bulk.

Energy above the lowest structure with this stoichiometry   85 meV/atom
Uncorrected formation energy   -0.71 eV per atom
Total magnetization   0.00 μB per atom

Cell: 4.4833 4.4833 11.1336 Å, 78.38 78.38 60.00°
With the nearest neighbours (Å) after each atom.
Sites, in units of the cell vectors:
Te  0.1116  0.1116  0.6651  3 Th 3.15
Te  0.8884  0.8884  0.3349  3 Th 3.15
Th  0.5000  0.5000  0.5000  6 Te 3.15
Cd  0.0000  0.0000  0.0000  2 Te 3.63


First-principles (PBE-GGA) data for a relaxed structure of ThCdTe, as listed in Alexandria via LeMat-Bulk.

Uncorrected formation energy   -0.55 eV per atom
Total magnetization   0.00 μB per atom

Cell: 4.8963 4.8963 10.1465 Å, 90.00 90.00 120.00°
With the nearest neighbours (Å) after each atom.
Sites, in units of the cell vectors:
Th  0.0000  0.0000  0.8109  3 Te 3.14, 6 Cd 3.33-3.51
Th  0.0000  0.0000  0.1891  3 Te 3.14, 6 Cd 3.33-3.51
Cd  0.3333  0.6667  0.9841  3 Cd 2.85
Cd  0.6667  0.3333  0.0159  3 Cd 2.85
Te  0.6667  0.3333  0.6756  3 Th 3.14, 1 Cd 3.45
Te  0.3333  0.6667  0.3244  3 Th 3.14, 1 Cd 3.45


First-principles (PBE-GGA) data for a relaxed structure of ThCdTe2, as listed in Alexandria via LeMat-Bulk.

Energy above the lowest structure with this stoichiometry   76 meV/atom
Uncorrected formation energy   -0.72 eV per atom
Total magnetization   0.00 μB per atom

Cell: 4.4665 4.4665 9.8964 Å, 76.96 76.96 60.00°
With the nearest neighbours (Å) after each atom.
Sites, in units of the cell vectors:
Th  0.6672  0.6672  0.9984  6 Te 3.14-3.15
Cd  0.4978  0.4978  0.5065  6 Te 3.87-4.00
Te  0.0638  0.0638  0.8085  3 Th 3.15
Te  0.2711  0.2711  0.1866  3 Th 3.14


First-principles (PBE-GGA) data for a relaxed structure of Th5CdTe4, as listed in Alexandria via LeMat-Bulk.

Uncorrected formation energy   -0.85 eV per atom
Total magnetization   0.00 μB per atom

Cell: 3.8115 3.8115 19.7293 Å, 90.00 90.00 90.00°
With the nearest neighbours (Å) after each atom.
Sites, in units of the cell vectors:
Th  0.5000  0.5000  0.1030  4 Te 3.38, 4 Cd 3.38
Th  0.5000  0.5000  0.3025  8 Te 3.30-3.33
Th  0.5000  0.5000  0.5000  8 Te 3.32
Th  0.5000  0.5000  0.6975  8 Te 3.30-3.33
Th  0.5000  0.5000  0.8970  4 Te 3.38, 4 Cd 3.38
Cd  0.0000  0.0000  0.0000  8 Th 3.38
Te  0.0000  0.0000  0.2060  8 Th 3.30-3.38
Te  0.0000  0.0000  0.4018  8 Th 3.32-3.33
Te  0.0000  0.0000  0.5982  8 Th 3.32-3.33
Te  0.0000  0.0000  0.7940  8 Th 3.30-3.38


Question: What is the formula in the fourth record?
Answer: Cd3Te